No. 1
Computed, not measured: a geometry-optimized MgBeAl structure at the PBE-GGA level of DFT.

```
MgBeAl
1.0
4.3461 0.0000 0.0000
2.1731 3.7638 0.0000
2.1731 1.2546 3.5486
Al Mg Be
1 1 1
direct
0.0000 0.0000 0.0000 Al
0.7500 0.7500 0.7500 Mg
0.5000 0.5000 0.5000 Be
```

Spin magnetization, μB per cell: 0.00
DOS at the Fermi energy, states/eV/cell: 2.2
Relative energy among the computed polymorphs, kJ per mole of atoms: 63.9
VASP energy, eV/atom: -2.290
Formation energy from the elements, eV/atom: 0.732

No. 2
Computed, not measured: a geometry-optimized Mg2BeAl structure at the PBE-GGA level of DFT.

```
Mg2BeAl
1.0
4.9573 -0.0673 0.0059
-1.2345 5.0940 -0.0334
-0.1204 -1.7079 5.5910
Al Mg Be
2 4 2
direct
0.3374 0.7340 0.9343 Al
0.6626 0.2660 0.0657 Al
0.2539 0.5114 0.3483 Mg
0.8610 0.8684 0.2456 Mg
0.1390 0.1316 0.7544 Mg
0.7461 0.4886 0.6517 Mg
0.5865 0.9618 0.6566 Be
0.4135 0.0382 0.3434 Be
```

Spin magnetization, μB per cell: 0.00
DOS at the Fermi energy, states/eV/cell: 3.2
Relative energy among the computed polymorphs, kJ per mole of atoms: 3.2
VASP energy, eV/atom: -2.559
Formation energy from the elements, eV/atom: 0.105

No. 3
Computed, not measured: a geometry-optimized Mg2Be2AlNi5 structure at the PBE-GGA level of DFT.

```
Mg2Be2AlNi5
1.0
-0.0794 3.0892 0.3183
-8.1195 -0.5319 3.1362
3.1731 -0.7518 8.0876
Mg Ni Be Al
4 10 4 2
direct
0.0000 0.8241 0.6759 Mg
0.0000 0.3241 0.8241 Mg
0.0000 0.6759 0.1759 Mg
0.0000 0.1759 0.3241 Mg
0.5000 0.5000 0.0000 Ni
0.5000 0.5677 0.7122 Ni
0.5000 0.7122 0.4323 Ni
0.5000 0.7878 0.9323 Ni
0.5000 0.4323 0.2878 Ni
0.5000 0.0000 0.5000 Ni
0.5000 0.0677 0.7878 Ni
0.5000 0.2878 0.5677 Ni
0.5000 0.2122 0.0677 Ni
0.5000 0.9323 0.2122 Ni
0.0000 0.8787 0.3787 Be
0.0000 0.3787 0.1213 Be
0.0000 0.6213 0.8787 Be
0.0000 0.1213 0.6213 Be
0.0000 0.0000 0.0000 Al
0.0000 0.5000 0.5000 Al
```

Spin magnetization, μB per cell: 0.00
DOS at the Fermi energy, states/eV/cell: 9.1
VASP energy, eV/atom: -4.689
Formation energy from the elements, eV/atom: -0.360

No. 4
Computed, not measured: a geometry-optimized MgBeAl4O8 structure at the PBE-GGA level of DFT.

```
MgBeAl4O8
1.0
5.6600 0.0000 0.0000
-2.8300 4.9017 0.0000
0.0000 0.0000 18.3251
O Al Mg Be
32 16 4 4
direct
0.1474 0.8526 0.1254 O
0.6667 0.3333 0.4905 O
0.0000 0.0000 0.7399 O
0.4935 0.9871 0.7482 O
0.3333 0.6667 0.3786 O
0.3333 0.6667 0.9905 O
0.1802 0.3604 0.5003 O
0.0000 0.0000 0.2399 O
0.8198 0.1802 0.0003 O
0.1474 0.2947 0.1254 O
0.6667 0.3333 0.8786 O
0.8159 0.1841 0.3786 O
0.4935 0.5065 0.7482 O
0.6396 0.8198 0.5003 O
0.8198 0.6396 0.0003 O
0.6319 0.8159 0.8786 O
0.1841 0.3681 0.8786 O
0.5065 0.4935 0.2482 O
0.2947 0.1474 0.6254 O
0.8526 0.7053 0.6254 O
0.7053 0.8526 0.1254 O
0.8159 0.6319 0.3786 O
0.1802 0.8198 0.5003 O
0.0129 0.5065 0.7482 O
0.5065 0.0129 0.2482 O
0.9871 0.4935 0.2482 O
0.3681 0.1841 0.3786 O
0.8526 0.1474 0.6254 O
0.6667 0.3333 0.1331 O
0.3333 0.6667 0.6331 O
0.3604 0.1802 0.0003 O
0.1841 0.8159 0.8786 O
0.8366 0.1634 0.1865 Al
0.1634 0.3267 0.6865 Al
0.0000 0.0000 0.0539 Al
0.6733 0.8366 0.6865 Al
0.4985 0.9969 0.9376 Al
0.9969 0.4985 0.4376 Al
0.1634 0.8366 0.6865 Al
0.5015 0.0031 0.4376 Al
0.0000 0.0000 0.5539 Al
0.5015 0.4985 0.4376 Al
0.3267 0.1634 0.1865 Al
0.0031 0.5015 0.9376 Al
0.8366 0.6733 0.1865 Al
0.6667 0.3333 0.3131 Al
0.4985 0.5015 0.9376 Al
0.3333 0.6667 0.8131 Al
0.3333 0.6667 0.0945 Mg
0.0000 0.0000 0.8444 Mg
0.6667 0.3333 0.5945 Mg
0.0000 0.0000 0.3444 Mg
0.3333 0.6667 0.2817 Be
0.6667 0.3333 0.0454 Be
0.6667 0.3333 0.7817 Be
0.3333 0.6667 0.5454 Be
```

Spin magnetization, μB per cell: 0.00
Formation energy without anion corrections, eV per formula unit: -40.92
DOS at the Fermi energy, states/eV/cell: 0.0
VASP energy, eV/atom: -7.205

No. 5
Computed, not measured: a geometry-optimized MgBeAlPd structure at the PBE-GGA level of DFT.

```
MgBeAlPd
1.0
-1.7103 -1.7484 -3.5586
2.4451 -2.4283 -2.6019
-0.6486 -4.2637 -0.2133
Mg Be Al Pd
1 1 1 1
direct
0.0000 0.0000 0.0000 Mg
0.7500 0.7500 0.7500 Be
0.5000 0.5000 0.5000 Al
0.2500 0.2500 0.2500 Pd
```

Spin magnetization, μB per cell: 0.00
DOS at the Fermi energy, states/eV/cell: 0.3
VASP energy, eV/atom: -3.871
Formation energy from the elements, eV/atom: -0.307

No. 6
Computed, not measured: a geometry-optimized PmMgBeAl structure at the PBE-GGA level of DFT.

```
PmMgBeAl
1.0
-2.0761 3.9744 1.8211
0.2696 0.9133 4.7451
2.7477 3.6440 1.6106
Al Be Pm Mg
1 1 1 1
direct
0.5000 0.5000 0.5000 Al
0.0000 0.0000 0.0000 Be
0.2500 0.2500 0.2500 Pm
0.7500 0.7500 0.7500 Mg
```

Spin magnetization, μB per cell: 0.00
DOS at the Fermi energy, states/eV/cell: 1.5
VASP energy, eV/atom: -3.475
Formation energy from the elements, eV/atom: -0.021

No. 7
Computed, not measured: a geometry-optimized MgBeAlRh2 structure at the PBE-GGA level of DFT.

```
MgBeAlRh2
1.0
4.4365 0.0000 0.0000
0.0000 4.6814 0.0000
0.0000 0.0000 4.4365
Mg Be Al Rh
1 1 1 2
direct
0.0000 0.5000 0.0000 Mg
0.5000 0.5000 0.5000 Be
0.0000 0.0000 0.0000 Al
0.5000 0.0000 0.0000 Rh
0.0000 0.0000 0.5000 Rh
```

Spin magnetization, μB per cell: 0.00
DOS at the Fermi energy, states/eV/cell: 1.8
VASP energy, eV/atom: -4.077
Formation energy from the elements, eV/atom: 0.676

No. 8
Computed, not measured: a geometry-optimized MgScBeAl structure at the PBE-GGA level of DFT.

```
MgScBeAl
1.0
-0.1257 -4.1732 -1.9167
3.5861 -1.5169 -2.4381
2.6449 -3.3702 1.6588
Mg Sc Al Be
1 1 1 1
direct
0.5000 0.5000 0.5000 Mg
0.0000 0.0000 0.0000 Sc
0.2500 0.2500 0.2500 Al
0.7500 0.7500 0.7500 Be
```

Spin magnetization, μB per cell: 0.00
DOS at the Fermi energy, states/eV/cell: 1.4
VASP energy, eV/atom: -3.892
Formation energy from the elements, eV/atom: -0.043

No. 9
Computed, not measured: a geometry-optimized MgBeAlW2 structure at the PBE-GGA level of DFT.

```
MgBeAlW2
1.0
4.6074 0.0000 0.0000
0.0000 4.4956 0.0000
0.0000 0.0000 4.6074
W Mg Be Al
2 1 1 1
direct
0.5000 0.0000 0.0000 W
0.0000 0.0000 0.5000 W
0.0000 0.0000 0.0000 Mg
0.5000 0.5000 0.5000 Be
0.0000 0.5000 0.0000 Al
```

Spin magnetization, μB per cell: 0.00
DOS at the Fermi energy, states/eV/cell: 6.3
VASP energy, eV/atom: -4.577
Formation energy from the elements, eV/atom: 2.417

No. 10
Computed, not measured: a geometry-optimized MgBeAlZn2 structure at the PBE-GGA level of DFT.

```
MgBeAlZn2
1.0
4.3477 0.0000 0.0000
0.0000 4.7358 0.0000
0.0000 0.0000 4.3477
Zn Al Be Mg
2 1 1 1
direct
0.0000 0.0000 0.5000 Zn
0.5000 0.0000 0.0000 Zn
0.5000 0.5000 0.5000 Al
0.0000 0.0000 0.0000 Be
0.0000 0.5000 0.0000 Mg
```

Spin magnetization, μB per cell: 0.00
DOS at the Fermi energy, states/eV/cell: 1.3
VASP energy, eV/atom: -1.978
Formation energy from the elements, eV/atom: 0.344

No. 11
Computed, not measured: a geometry-optimized MnBeAl structure at the PBE-GGA level of DFT.

```
MnBeAl
1.0
-2.3081 -3.1121 0.6278
3.0173 -0.2661 -2.4963
1.4815 -0.7220 1.8676
Mn Al Be
1 1 1
direct
0.3333 0.6667 0.6438 Mn
0.0000 0.0000 0.0954 Al
0.6667 0.3333 0.2607 Be
```

Spin magnetization, μB per cell: 0.25
DOS at the Fermi energy, states/eV/cell: 2.0
Relative energy among the computed polymorphs, kJ per mole of atoms: 6.3
VASP energy, eV/atom: -5.598
Formation energy from the elements, eV/atom: -0.052

No. 12
Computed, not measured: a geometry-optimized Mn2BeAl structure at the PBE-GGA level of DFT.

```
Mn2BeAl
1.0
-2.0527 -0.4030 -1.9098
-0.2870 -2.6781 0.8736
-3.8662 1.6559 3.8060
Mn Be Al
2 1 1
direct
0.0000 0.0000 0.9744 Mn
0.0000 0.0000 0.5256 Mn
0.5000 0.5000 0.7500 Be
0.5000 0.5000 0.2500 Al
```

Spin magnetization, μB per cell: 4.41
DOS at the Fermi energy, states/eV/cell: 2.1
VASP energy, eV/atom: -6.609
Formation energy from the elements, eV/atom: -0.157